1.
Compound: Pm2PrHo3As6
Source: Alexandria
Functional: PBE-GGA
Structure: relaxed

The size of the total moment is 0.0 μB/cell. As for the crystal system: monoclinic. For the energy of formation from the pure elements, the calculation gives -1516 meV/atom.

Geometry as CIF:
```
data_Pm2PrHo3As6
_chemical_formula_sum 'Pm4 Pr2 Ho6 As12'
_symmetry_space_group_name_H-M 'C 1 2/m 1'
_symmetry_Int_Tables_number 12
_symmetry_space_group_name_Hall '-C 2y'
_cell_length_a 18.219
_cell_length_b 4.184
_cell_length_c 8.359
_cell_angle_alpha 90.00
_cell_angle_beta 103.19
_cell_angle_gamma 90.00
loop_
_atom_site_label
_atom_site_type_symbol
_atom_site_fract_x
_atom_site_fract_y
_atom_site_fract_z
Pm1 Pm 0.167 0.000 0.334
Pr1 Pr 0.000 0.500 0.000
Ho1 Ho 0.000 0.500 0.500
Ho2 Ho 0.167 0.000 0.833
As1 As 0.002 0.000 0.742
As2 As 0.165 0.500 0.588
As3 As 0.170 0.500 0.079
```

2.
Compound: Zn2CoOs
Source: Alexandria
Functional: PBE-GGA
Structure: relaxed

The energy above the most stable polymorph in this dataset comes out at 0.46 eV per formula unit. The size of the total moment is 2.0 μB/cell. As for the crystal system: orthorhombic. For the energy of formation from the pure elements, the calculation gives 186 meV/atom.

Geometry as CIF:
```
data_Zn2CoOs
_chemical_formula_sum 'Zn2 Co1 Os1'
_symmetry_space_group_name_H-M 'P m m m'
_symmetry_Int_Tables_number 47
_symmetry_space_group_name_Hall '-P 2 2'
_cell_length_a 3.052
_cell_length_b 4.166
_cell_length_c 4.182
_cell_angle_alpha 90.00
_cell_angle_beta 90.00
_cell_angle_gamma 90.00
loop_
_atom_site_label
_atom_site_type_symbol
_atom_site_fract_x
_atom_site_fract_y
_atom_site_fract_z
Zn1 Zn 0.000 0.000 0.000
Zn2 Zn 0.500 0.000 0.500
Co1 Co 0.000 0.500 0.500
Os1 Os 0.500 0.500 0.000
```

3.
Compound: PmGdInRu
Source: Alexandria
Functional: PBE-GGA
Structure: relaxed

The size of the total moment is 28.1 μB/cell. As for the crystal system: cubic. For the energy of formation from the pure elements, the calculation gives -264 meV/atom.

Geometry as CIF:
```
data_PmGdInRu
_chemical_formula_sum 'Pm4 Gd4 In4 Ru4'
_symmetry_space_group_name_H-M 'F -4 3 m'
_symmetry_Int_Tables_number 216
_symmetry_space_group_name_Hall 'F -4 2 3'
_cell_length_a 7.286
_cell_length_b 7.286
_cell_length_c 7.286
_cell_angle_alpha 90.00
_cell_angle_beta 90.00
_cell_angle_gamma 90.00
loop_
_atom_site_label
_atom_site_type_symbol
_atom_site_fract_x
_atom_site_fract_y
_atom_site_fract_z
Pm1 Pm 0.000 0.000 0.000
Gd1 Gd 0.000 0.000 0.500
In1 In 0.250 0.250 0.750
Ru1 Ru 0.250 0.250 0.250
```

What is the size of the total moment in the third record? 28.1 μB/cell

Which value of size of the total moment does entry 2 give? 2.0 μB/cell

Look up the size of the total moment of the second one. 2.0 μB/cell